No. 1
{
  "formula": "MgFe2Pt9",
  "functional": "PBE",
  "state": "optimized geometry",
  "magnetic_moment_mub_per_cell": 9.34,
  "vol_a3_per_atom": 15.191,
  "formation_energy_mev_per_atom": -352,
  "dos_at_fermi_per_ev_atom": 0.9300,
  "space_group": "P4/mmm",
  "lattice_angstrom": [[3.933, 0.000, 0.000], [0.000, 3.933, 0.000], [0.000, 0.000, 11.783]],
  "species": ["Mg", "Fe", "Fe", "Pt", "Pt", "Pt", "Pt", "Pt", "Pt", "Pt", "Pt", "Pt"],
  "frac_coords": [[0.000, 0.000, 0.000], [0.000, 0.000, 0.332], [0.000, 0.000, 0.668], [0.500, 0.500, 0.000], [0.500, 0.500, 0.336], [0.500, 0.500, 0.664], [0.500, 0.000, 0.172], [0.500, 0.000, 0.500], [0.500, 0.000, 0.828], [0.000, 0.500, 0.172], [0.000, 0.500, 0.500], [0.000, 0.500, 0.828]]
}

No. 2
{
  "formula": "MgFe2Pt6",
  "functional": "PBE",
  "state": "optimized geometry",
  "magnetic_moment_mub_per_cell": 8.26,
  "vol_a3_per_atom": 15.084,
  "formation_energy_mev_per_atom": -286,
  "dos_at_fermi_per_ev_atom": 0.6586,
  "space_group": "P-62m",
  "lattice_angstrom": [[-2.170, 1.699, -0.442], [-2.741, -4.813, -5.048], [-1.950, -0.617, 7.210]],
  "species": ["Mg", "Fe", "Fe", "Pt", "Pt", "Pt", "Pt", "Pt", "Pt"],
  "frac_coords": [[0.500, 0.000, 0.000], [0.000, 0.667, 0.333], [0.000, 0.333, 0.667], [0.500, 0.365, 0.365], [0.500, 0.635, 0.000], [0.500, 0.000, 0.635], [0.000, 0.693, 0.693], [0.000, 0.307, 0.000], [0.000, 0.000, 0.307]]
}

No. 3
{
  "formula": "Mg4FePt",
  "functional": "PBE",
  "state": "optimized geometry",
  "magnetic_moment_mub_per_cell": 2.92,
  "vol_a3_per_atom": 18.197,
  "formation_energy_mev_per_atom": 301,
  "dos_at_fermi_per_ev_atom": 0.8819,
  "space_group": "F-43m",
  "lattice_angstrom": [[-0.034, 3.515, 4.052], [-3.654, 3.926, 0.115], [-3.954, -0.121, 3.624]],
  "species": ["Mg", "Mg", "Mg", "Mg", "Fe", "Pt"],
  "frac_coords": [[0.875, 0.375, 0.375], [0.375, 0.375, 0.875], [0.375, 0.875, 0.375], [0.375, 0.375, 0.375], [0.000, 0.000, 0.000], [0.750, 0.750, 0.750]]
}

No. 4
{
  "formula": "Mg3FePt4",
  "functional": "PBE",
  "state": "optimized geometry",
  "magnetic_moment_mub_per_cell": 3.50,
  "vol_a3_per_atom": 15.451,
  "formation_energy_mev_per_atom": -696,
  "dos_at_fermi_per_ev_atom": 0.5583,
  "space_group": "P4/mmm",
  "lattice_angstrom": [[2.942, 0.000, 0.000], [0.000, 2.942, 0.000], [0.000, 0.000, 14.277]],
  "species": ["Mg", "Mg", "Mg", "Fe", "Pt", "Pt", "Pt", "Pt"],
  "frac_coords": [[0.500, 0.500, 0.247], [0.500, 0.500, 0.500], [0.500, 0.500, 0.753], [0.500, 0.500, 0.000], [0.000, 0.000, 0.883], [0.000, 0.000, 0.117], [0.000, 0.000, 0.374], [0.000, 0.000, 0.626]]
}

No. 5
{
  "formula": "MgFe2Pt",
  "functional": "PBE",
  "state": "optimized geometry",
  "magnetic_moment_mub_per_cell": 5.51,
  "vol_a3_per_atom": 14.240,
  "formation_energy_mev_per_atom": -74,
  "dos_at_fermi_per_ev_atom": 0.8348,
  "space_group": "Pmmm",
  "lattice_angstrom": [[2.720, 0.000, 0.000], [0.000, 3.975, 0.000], [0.000, 0.000, 5.269]],
  "species": ["Fe", "Fe", "Mg", "Pt"],
  "frac_coords": [[0.000, 0.000, 0.996], [0.000, 0.000, 0.504], [0.500, 0.500, 0.250], [0.500, 0.500, 0.750]]
}

No. 6
{
  "formula": "MgFe4Pt",
  "functional": "PBE",
  "state": "optimized geometry",
  "magnetic_moment_mub_per_cell": 9.87,
  "vol_a3_per_atom": 13.322,
  "formation_energy_mev_per_atom": -71,
  "dos_at_fermi_per_ev_atom": 1.1767,
  "space_group": "F-43m",
  "lattice_angstrom": [[0.000, 3.419, 3.419], [3.419, 0.000, 3.419], [3.419, 3.419, 0.000]],
  "species": ["Mg", "Fe", "Fe", "Fe", "Fe", "Pt"],
  "frac_coords": [[0.750, 0.750, 0.750], [0.874, 0.375, 0.375], [0.375, 0.375, 0.874], [0.375, 0.874, 0.375], [0.375, 0.375, 0.375], [0.000, 0.000, 0.000]]
}

No. 7
{
  "formula": "MgFe2Pt",
  "functional": "PBE",
  "state": "optimized geometry",
  "magnetic_moment_mub_per_cell": 5.44,
  "vol_a3_per_atom": 14.221,
  "formation_energy_mev_per_atom": -59,
  "dos_at_fermi_per_ev_atom": 0.9713,
  "space_group": "Cmmm",
  "lattice_angstrom": [[-1.173, 4.616, 0.416], [-0.388, -2.448, 4.088], [2.578, 0.601, 0.604]],
  "species": ["Fe", "Fe", "Mg", "Pt"],
  "frac_coords": [[0.000, 0.000, 0.000], [0.500, 0.500, 0.000], [0.500, 0.000, 0.500], [0.000, 0.500, 0.500]]
}

No. 8
{
  "formula": "Mg3FePt12",
  "functional": "PBE",
  "state": "optimized geometry",
  "magnetic_moment_mub_per_cell": 4.19,
  "vol_a3_per_atom": 15.400,
  "formation_energy_mev_per_atom": -513,
  "dos_at_fermi_per_ev_atom": 0.8613,
  "space_group": "P4/mmm",
  "lattice_angstrom": [[3.951, 0.000, 0.000], [0.000, 3.951, 0.000], [0.000, 0.000, 15.785]],
  "species": ["Mg", "Mg", "Mg", "Fe", "Pt", "Pt", "Pt", "Pt", "Pt", "Pt", "Pt", "Pt", "Pt", "Pt", "Pt", "Pt"],
  "frac_coords": [[0.000, 0.000, 0.249], [0.000, 0.000, 0.500], [0.000, 0.000, 0.751], [0.000, 0.000, 0.000], [0.500, 0.500, 0.000], [0.500, 0.500, 0.248], [0.500, 0.500, 0.500], [0.500, 0.500, 0.752], [0.500, 0.000, 0.121], [0.500, 0.000, 0.374], [0.500, 0.000, 0.626], [0.500, 0.000, 0.879], [0.000, 0.500, 0.121], [0.000, 0.500, 0.374], [0.000, 0.500, 0.626], [0.000, 0.500, 0.879]]
}

No. 9
{
  "formula": "MgFe2Pt",
  "functional": "PBE",
  "state": "optimized geometry",
  "magnetic_moment_mub_per_cell": 11.92,
  "vol_a3_per_atom": 16.329,
  "formation_energy_mev_per_atom": 260,
  "dos_at_fermi_per_ev_atom": 0.7153,
  "space_group": "I-42d",
  "lattice_angstrom": [[7.147, 0.000, 0.000], [0.000, 7.147, 0.000], [3.573, 3.573, 2.558]],
  "species": ["Mg", "Mg", "Fe", "Fe", "Fe", "Fe", "Pt", "Pt"],
  "frac_coords": [[0.500, 0.500, 0.000], [0.250, 0.750, 0.500], [0.655, 0.125, 0.250], [0.095, 0.625, 0.250], [0.375, 0.345, 0.750], [0.875, 0.905, 0.750], [0.000, 0.000, 0.000], [0.750, 0.250, 0.500]]
}

No. 10
{
  "formula": "MgFe2Pt",
  "functional": "PBE",
  "state": "optimized geometry",
  "magnetic_moment_mub_per_cell": 5.18,
  "vol_a3_per_atom": 14.158,
  "formation_energy_mev_per_atom": -167,
  "dos_at_fermi_per_ev_atom": 1.0222,
  "space_group": "P4mm",
  "lattice_angstrom": [[-2.449, -1.293, -1.123], [1.594, -2.438, -0.670], [-1.328, -2.434, 5.701]],
  "species": ["Fe", "Fe", "Mg", "Pt"],
  "frac_coords": [[0.000, 0.000, 0.027], [0.500, 0.500, 0.215], [0.000, 0.000, 0.493], [0.500, 0.500, 0.765]]
}

No. 11
{
  "formula": "MgFe2Pt",
  "functional": "PBE",
  "state": "optimized geometry",
  "magnetic_moment_mub_per_cell": 5.45,
  "vol_a3_per_atom": 14.181,
  "formation_energy_mev_per_atom": -113,
  "dos_at_fermi_per_ev_atom": 0.7235,
  "space_group": "Cm",
  "lattice_angstrom": [[-4.199, 0.895, 2.593], [-4.366, -1.886, 1.593], [0.043, -1.507, 4.183]],
  "species": ["Fe", "Fe", "Mg", "Pt"],
  "frac_coords": [[0.015, 0.015, 0.980], [0.730, 0.730, 0.776], [0.495, 0.495, 0.500], [0.260, 0.260, 0.245]]
}

No. 12
{
  "formula": "MgFe2Pt",
  "functional": "PBE",
  "state": "optimized geometry",
  "magnetic_moment_mub_per_cell": 5.76,
  "vol_a3_per_atom": 14.660,
  "formation_energy_mev_per_atom": 100,
  "dos_at_fermi_per_ev_atom": 0.9270,
  "space_group": "R-3m",
  "lattice_angstrom": [[-6.121, -2.442, -6.271], [-3.864, -2.524, -7.839], [-4.557, -4.703, -6.314]],
  "species": ["Fe", "Fe", "Mg", "Pt"],
  "frac_coords": [[0.002, 0.002, 0.002], [0.498, 0.498, 0.498], [0.250, 0.250, 0.250], [0.750, 0.750, 0.750]]
}

No. 13
{
  "formula": "MgFe2Pt",
  "functional": "PBE",
  "state": "optimized geometry",
  "magnetic_moment_mub_per_cell": 5.25,
  "vol_a3_per_atom": 14.458,
  "formation_energy_mev_per_atom": 25,
  "dos_at_fermi_per_ev_atom": 0.6998,
  "space_group": "P4/mmm",
  "lattice_angstrom": [[2.721, 0.021, 0.000], [-0.021, 2.721, 0.000], [0.000, 0.000, 7.812]],
  "species": ["Fe", "Fe", "Mg", "Pt"],
  "frac_coords": [[0.000, 0.000, 0.989], [0.000, 0.000, 0.511], [0.500, 0.500, 0.250], [0.500, 0.500, 0.750]]
}

No. 14
{
  "formula": "MgFe2Pt",
  "functional": "PBE",
  "state": "optimized geometry",
  "magnetic_moment_mub_per_cell": 5.50,
  "vol_a3_per_atom": 14.163,
  "formation_energy_mev_per_atom": -150,
  "dos_at_fermi_per_ev_atom": 0.5255,
  "space_group": "Immm",
  "lattice_angstrom": [[-4.748, 1.238, -1.740], [-4.224, -1.228, 2.785], [4.529, 2.561, -0.178]],
  "species": ["Fe", "Fe", "Mg", "Pt"],
  "frac_coords": [[0.007, 0.007, 0.000], [0.493, 0.493, 0.000], [0.750, 0.250, 0.500], [0.250, 0.750, 0.500]]
}